--- P ---
## CdSnAsWSe (PBE-GGA)

Data for CdSnAsWSe after structural relaxation.

Unit cell a=5.625 b=3.055 c=7.776 alpha=90.00 beta=105.49 gamma=90.00
Space group Pm (No. 6)
Asymmetric unit:
Cd 0.000 0.000 0.000
Sn 0.835 0.000 0.614
As 0.309 0.000 0.416
W 0.927 0.500 0.318
Se 0.567 0.000 0.175

Values from the calculation:
Magnetization (μB per formula unit): 0.00

***

--- Q ---
## CdSnAsWSe (PBE-GGA)

Data for CdSnAsWSe after structural relaxation.

Unit cell a=11.695 b=3.392 c=6.418 alpha=90.00 beta=110.18 gamma=90.00
Space group Cm (No. 8)
Asymmetric unit:
Cd 0.000 0.000 0.000
Sn 0.234 0.000 0.935
As 0.343 0.000 0.398
W 0.283 0.500 0.623
Se 0.076 0.500 0.380

Values from the calculation:
Magnetization (μB per formula unit): 0.00

***

--- R ---
## CdSnAsWSe (PBE-GGA)

Data for CdSnAsWSe after structural relaxation.

Unit cell a=11.471 b=3.251 c=6.736 alpha=90.00 beta=114.42 gamma=90.00
Space group Cm (No. 8)
Asymmetric unit:
Cd 0.000 0.000 0.000
Sn 0.116 0.500 0.493
As 0.196 0.500 0.936
W 0.356 0.000 0.194
Se 0.352 0.500 0.479

Values from the calculation:
Magnetization (μB per formula unit): 0.00

***

--- S ---
## CdSnAsWSe (PBE-GGA)

Data for CdSnAsWSe after structural relaxation.

Unit cell a=6.126 b=3.203 c=6.637 alpha=90.00 beta=99.45 gamma=90.00
Space group Pm (No. 6)
Asymmetric unit:
Cd 0.000 0.000 0.000
Sn 0.519 0.000 0.139
As 0.202 0.000 0.409
W 0.877 0.500 0.370
Se 0.752 0.000 0.622

Values from the calculation:
Magnetization (μB per formula unit): 0.00

***

Which structure is most stable? R, by 71 meV/atom over the runner-up.

***

--- P ---
## TiCdAsSe2 (PBE-GGA)

Data for TiCdAsSe2 after structural relaxation.

Unit cell a=4.929 b=4.929 c=5.034 alpha=90.00 beta=90.00 gamma=90.00
Space group P4/mmm (No. 123)
Asymmetric unit:
Ti 0.000 0.000 0.000
Cd 0.500 0.500 0.500
As 0.000 0.000 0.500
Se 0.000 0.500 0.000

Values from the calculation:
Magnetization (μB per formula unit): 0.00

***

--- Q ---
## TiCdAsSe2 (PBE-GGA)

Data for TiCdAsSe2 after structural relaxation.

Unit cell a=5.150 b=5.150 c=5.032 alpha=90.00 beta=90.00 gamma=90.00
Space group P4/mmm (No. 123)
Asymmetric unit:
Ti 0.000 0.000 0.000
Cd 0.500 0.500 0.500
As 0.500 0.500 0.000
Se 0.000 0.500 0.500

Values from the calculation:
Magnetization (μB per formula unit): 0.04

***

Which structure is most stable? P, by 981 meV/atom over the runner-up.

***

--- P ---
## CdAsWSe2 (PBE-GGA)

Data for CdAsWSe2 after structural relaxation.

Unit cell a=4.941 b=4.941 c=5.032 alpha=90.00 beta=90.00 gamma=90.00
Space group P4/mmm (No. 123)
Asymmetric unit:
Cd 0.000 0.000 0.000
As 0.500 0.500 0.000
W 0.500 0.500 0.500
Se 0.000 0.500 0.500

Values from the calculation:
Magnetization (μB per formula unit): 0.00

***

--- Q ---
## CdAsWSe2 (PBE-GGA)

Data for CdAsWSe2 after structural relaxation.

Unit cell a=5.128 b=5.128 c=5.008 alpha=90.00 beta=90.00 gamma=90.00
Space group P4/mmm (No. 123)
Asymmetric unit:
Cd 0.000 0.000 0.000
As 0.000 0.000 0.500
W 0.500 0.500 0.500
Se 0.000 0.500 0.000

Values from the calculation:
Magnetization (μB per formula unit): 2.49

***

Which structure is most stable? P, by 1273 meV/atom over the runner-up.